Compound: LiAu2SeS
Source: Alexandria via LeMat-Bulk
Functional: PBE-GGA
Structure: optimized geometry

Cell lengths 4.959, 4.959, 4.743 Å; angles 90.00, 90.00, 90.00 degrees
Sites, in units of the cell vectors:
Li: 0.000 0.000 0.000
Au: 0.000 0.500 0.500
Au: 0.500 0.000 0.500
Se: 0.000 0.000 0.500
S: 0.500 0.500 0.000

The total magnetization comes out at 0.79 μB per cell. The value obtained for the density of states at the Fermi level is 0.386 states/eV per atom. The space-group type is P4/mmm (123). As for the crystal system: tetragonal. For the uncorrected energy, the calculation gives -15.08 eV per cell. The uncorrected formation energy comes out at 0.2010 eV/atom. For the mass density, the calculation gives 7.29 g/cm3.

Compound: SrLi2AuS
Source: Alexandria via LeMat-Bulk
Functional: PBE-GGA
Structure: optimized geometry

Cell lengths 6.422, 6.422, 5.208 Å; angles 90.00, 90.00, 90.00 degrees
Sites, in units of the cell vectors:
Sr: 0.000 0.000 0.000
Li: 0.000 0.500 0.000
Li: 0.500 0.000 0.000
Au: 0.500 0.500 0.500
S: 0.000 0.000 0.500

The total magnetization comes out at 0.00 μB per cell. The value obtained for the density of states at the Fermi level is 0.859 states/eV per atom. The space-group type is P4/mmm (123). As for the crystal system: tetragonal. For the uncorrected energy, the calculation gives -11.10 eV per cell. The uncorrected formation energy comes out at 0.3620 eV/atom. For the mass density, the calculation gives 2.56 g/cm3.

Compound: SrLiAuS2
Source: Alexandria via LeMat-Bulk
Functional: PBE-GGA
Structure: optimized geometry

Cell lengths 6.890, 4.693, 7.395 Å; angles 90.00, 104.72, 90.00 degrees
Sites, in units of the cell vectors:
Sr: 0.000 0.193 0.250
Sr: 0.000 0.807 0.750
Li: 0.500 0.483 0.750
Li: 0.500 0.517 0.250
Au: 0.500 0.000 0.000
Au: 0.500 0.000 0.500
S: 0.232 0.312 0.969
S: 0.232 0.688 0.469
S: 0.768 0.312 0.531
S: 0.768 0.688 0.031

The total magnetization comes out at 0.00 μB per cell. The value obtained for the density of states at the Fermi level is 0.000 states/eV per atom. The space-group type is P2/c (13). As for the crystal system: monoclinic. For the uncorrected energy, the calculation gives -42.91 eV per cell. The uncorrected formation energy comes out at -1.2659 eV/atom. For the mass density, the calculation gives 5.11 g/cm3.